--- one ---
Material: Nd4Sm2Tm5
Method: DFT, GGA-PBE
State: relaxed

Values from the calculation:
* DOS(E_F): 17.1 states/eV/f.u.
* total magnetic moment: 0.0 μB per cell
* space-group type: C2/m

```
Nd4Sm2Tm5
1.0
3.533 0.000 0.000
0.000 8.436 -1.929
-1.766 -4.927 13.467
Nd Tm Sm
4 5 2
Direct
0.959 0.258 0.918
0.041 0.742 0.082
0.410 0.518 0.821
0.590 0.482 0.179
0.813 0.098 0.625
0.187 0.902 0.375
0.869 0.787 0.738
0.131 0.213 0.262
0.500 0.000 0.000
0.275 0.377 0.550
0.725 0.623 0.450
```

--- two ---
Material: Nd4Sm2Tm5
Method: DFT, GGA-PBE
State: relaxed

Values from the calculation:
* DOS(E_F): 19.3 states/eV/f.u.
* total magnetic moment: 0.0 μB per cell
* space-group type: C2/m

```
Nd4Sm2Tm5
1.0
-1.325 3.939 -4.045
-6.148 -1.742 0.318
-0.222 4.836 8.940
Nd Tm Sm
4 5 2
Direct
0.306 0.926 0.612
0.967 0.734 0.934
0.694 0.074 0.388
0.033 0.266 0.066
0.213 0.395 0.427
0.787 0.605 0.573
0.132 0.860 0.263
0.868 0.140 0.737
0.500 0.000 0.000
0.401 0.453 0.802
0.599 0.547 0.198
```

On energetic grounds, two is preferred over the next structure by 17 meV/atom.